VASP calculation (GGA-PBE) on CsKTl2Au after structural relaxation.

Values from the calculation:
Symmetry: P4/mmm, No. 123
Relative energy among the computed polymorphs (eV per atom): 0.120
DOS(E_F) (states/eV/atom): 0.698
Volume (Å³ per cell): 224.20
Formation energy (eV per atom): 0.01

Cell lengths 5.816, 5.816, 6.629 Å; angles 90.00, 90.00, 90.00 degrees
Positions (direct):
Cs (0.000, 0.000, 0.000)
K (0.500, 0.500, 0.000)
Tl (0.000, 0.500, 0.500)
Tl (0.500, 0.000, 0.500)
Au (0.000, 0.000, 0.500)


VASP calculation (GGA-PBE) on ZrRe2Ru after structural relaxation.

Values from the calculation:
Symmetry: R3m, No. 160
Relative energy among the computed polymorphs (eV per atom): 0.207
DOS(E_F) (states/eV/atom): 1.171
Volume (Å³ per cell): 64.92
Formation energy (eV per atom): 0.18

Cell lengths 9.499, 9.499, 9.499 Å; angles 17.14, 17.14, 17.14 degrees
Positions (direct):
Zr (0.000, 0.000, 0.000)
Re (0.241, 0.241, 0.241)
Re (0.498, 0.498, 0.498)
Ru (0.755, 0.755, 0.755)


VASP calculation (GGA-PBE) on Ga2PtSe after structural relaxation.

Values from the calculation:
Symmetry: I-42d, No. 122
Raw total energy (eV per cell): -33.70
DOS(E_F) (states/eV/atom): 0.194
Volume (Å³ per cell): 191.98

Cell lengths 6.699, 6.699, 6.699 Å; angles 125.54, 125.54, 80.65 degrees
Positions (direct):
Ga (0.106, 0.625, 0.981)
Ga (0.375, 0.356, 0.481)
Ga (0.644, 0.125, 0.019)
Ga (0.875, 0.894, 0.519)
Pt (0.000, 0.000, 0.000)
Pt (0.750, 0.250, 0.500)
Se (0.250, 0.750, 0.500)
Se (0.500, 0.500, 0.000)


What is the formula in the third record?
Ga2PtSe